[1]
! Ho2Er12Th5 | Alexandria via LeMat-Bulk | PBE-GGA | relaxed; values from VASP
! - polymorph energy (0 for the lowest one) (meV per atom) = 0
! - formation energy from the elements (meV per atom) = 153
&SYSTEM
  ibrav = 0, nat = 19, ntyp = 3
/
ATOMIC_SPECIES
Er 167.26 Er.upf
Th 232.04 Th.upf
Ho 164.93 Ho.upf
CELL_PARAMETERS angstrom
-6.700 -2.192 -5.843
1.160 -8.406 -3.440
-4.090 -2.850 6.007
ATOMIC_POSITIONS crystal
Er 0.615 0.167 0.609
Er 0.429 0.956 0.797
Th 0.655 0.655 0.084
Er 0.044 0.571 0.203
Er 0.862 0.862 0.891
Ho 0.262 0.738 0.000
Er 0.571 0.044 0.203
Th 0.760 0.760 0.512
Th 0.345 0.345 0.916
Er 0.138 0.138 0.109
Th 0.240 0.240 0.488
Th 0.000 0.000 0.500
Er 0.551 0.551 0.705
Er 0.167 0.615 0.609
Er 0.385 0.833 0.391
Er 0.833 0.385 0.391
Ho 0.738 0.262 0.000
Er 0.449 0.449 0.295
Er 0.956 0.429 0.797

[2]
! HoEr6Th | Alexandria via LeMat-Bulk | PBE-GGA | relaxed; values from VASP
! - polymorph energy (0 for the lowest one) (meV per atom) = 0
! - formation energy from the elements (meV per atom) = 32
&SYSTEM
  ibrav = 0, nat = 8, ntyp = 3
/
ATOMIC_SPECIES
Er 167.26 Er.upf
Th 232.04 Th.upf
Ho 164.93 Ho.upf
CELL_PARAMETERS angstrom
-1.869 -2.169 4.086
-2.520 -3.218 -2.861
7.704 -6.226 0.217
ATOMIC_POSITIONS crystal
Er 0.500 0.000 0.749
Er 0.500 0.500 0.000
Er 0.000 0.500 0.251
Er 0.500 0.500 0.500
Er 0.500 0.000 0.251
Th 0.000 0.000 0.500
Ho 0.000 0.000 0.000
Er 0.000 0.500 0.749

Question: polymorph energy (0 for the lowest one) of number 2 (HoEr6Th)?
Answer: 0 meV per atom